[1]
Density functional theory data (PBE-GGA) for crystalline Nb6Ga5Ge at its relaxed geometry.

a b c (Å): 6.4400 11.1536 6.4440
angles (deg): 90.00 109.44 90.00
Last column: nearest neighbours and their distance in Å.
Space group C2/m (No. 12)
Unique sites:
Nb: 0.2466 0.0000 0.2513 x4  1 Ge 2.60, 5 Ga 2.63-2.65
Nb: 0.2476 0.1647 0.7485 x8  1 Ge 2.60, 5 Ga 2.62-2.65
Ga: 0.0000 0.1677 0.0000 x4  6 Nb 2.62-2.65
Ga: 0.0000 0.3333 0.5000 x4  6 Nb 2.63-2.64
Ga: 0.0000 0.5000 0.0000 x2  6 Nb 2.62-2.65
Ge: 0.0000 0.0000 0.5000 x2  6 Nb 2.60

Results
DFT total energy ... -6.714 eV per atom
Formation energy ... -0.033 eV/atom



[2]
Density functional theory data (PBE-GGA) for crystalline Nb12Ga3Ge at its relaxed geometry.

a b c (Å): 5.2050 5.2072 10.3361
angles (deg): 90.00 90.00 90.00
Last column: nearest neighbours and their distance in Å.
Space group Pmmm (No. 47)
Unique sites:
Nb: 0.0000 0.0000 0.1241 x2  2 Nb 2.56-2.60
Nb: 0.0000 0.0000 0.3753 x2  2 Nb 2.58-2.60
Nb: 0.2510 0.5000 0.2509 x4  2 Nb 2.59-2.61, 1 Ge 2.89
Nb: 0.5000 0.2518 0.5000 x2  2 Nb 2.59-2.62, 2 Ga 2.89
Nb: 0.5000 0.2526 0.0000 x2  2 Nb 2.58-2.63
Ga: 0.0000 0.5000 0.0000 x1  12 Nb 2.90
Ga: 0.5000 0.0000 0.2505 x2  12 Nb 2.89-2.91
Ge: 0.0000 0.5000 0.5000 x1  12 Nb 2.89-2.91

Results
DFT total energy ... -8.627 eV per atom
Formation energy ... -0.219 eV/atom



[3]
Density functional theory data (PBE-GGA) for crystalline NbGaGe3 at its relaxed geometry.

a b c (Å): 4.7787 4.7787 4.7787
angles (deg): 90.00 90.00 90.00
Last column: nearest neighbours and their distance in Å.
Space group Pm-3m (No. 221)
Unique sites:
Nb: 0.0000 0.0000 0.0000 x1  12 Ge 3.38
Ga: 0.5000 0.5000 0.5000 x1  6 Ge 2.39
Ge: 0.0000 0.5000 0.5000 x3  2 Ga 2.39

Results
DFT total energy ... -4.294 eV per atom
Formation energy ... 1.096 eV/atom
Energy above the most stable polymorph in this dataset ... 726 meV per atom



[4]
Density functional theory data (PBE-GGA) for crystalline NbGaGe2 at its relaxed geometry.

a b c (Å): 2.9467 2.9467 29.5754
angles (deg): 90.00 90.00 120.00
Last column: nearest neighbours and their distance in Å.
Space group R-3m (No. 166, hexagonal axes)
Unique sites:
Nb: 0.0000 0.0000 0.0000 x3  6 Ge 2.81, 6 Nb 2.95
Ga: 0.0000 0.0000 0.5000 x3  2 Ge 2.69, 6 Ga 2.95
Ge: 0.0000 0.0000 0.4090 x6  1 Ga 2.69, 3 Nb 2.81, 6 Ge 2.95

Results
DFT total energy ... -5.602 eV per atom
Formation energy ... -0.019 eV/atom



[5]
Density functional theory data (PBE-GGA) for crystalline Nb2GaGe2 at its relaxed geometry.

a b c (Å): 7.0110 7.0110 3.5993
angles (deg): 90.00 90.00 90.00
Last column: nearest neighbours and their distance in Å.
Space group P4/mbm (No. 127)
Unique sites:
Nb: 0.1562 0.3438 0.0000 x4  2 Ga 2.65, 6 Ge 2.69-2.76
Ga: 0.0000 0.0000 0.0000 x2  4 Nb 2.65
Ge: 0.1424 0.6424 0.5000 x4  6 Nb 2.69-2.76, 1 Ge 2.82

Results
DFT total energy ... -6.715 eV per atom
Formation energy ... -0.235 eV/atom
Energy above the most stable polymorph in this dataset ... 0 meV per atom



[6]
Density functional theory data (PBE-GGA) for crystalline Nb2GaGeO at its relaxed geometry.

a b c (Å): 4.2005 4.2005 4.5402
angles (deg): 90.00 90.00 90.00
Last column: nearest neighbours and their distance in Å.
Space group P4/mmm (No. 123)
Unique sites:
Nb: 0.0000 0.5000 0.0000 x2  2 O 2.10
Ga: 0.0000 0.0000 0.5000 x1  2 O 2.27
Ge: 0.5000 0.5000 0.5000 x1  4 Ga 2.97, 8 Nb 3.09
O: 0.0000 0.0000 0.0000 x1  4 Nb 2.10, 2 Ga 2.27

Results
DFT total energy ... -6.892 eV per atom
Formation energy (no corrections) ... -344 meV per atom



[7]
Density functional theory data (PBE-GGA) for crystalline TaNb2GaGe at its relaxed geometry.

a b c (Å): 4.8176 4.8176 4.3822
angles (deg): 90.00 90.00 90.00
Last column: nearest neighbours and their distance in Å.
Space group P4/mmm (No. 123)
Unique sites:
Ta: 0.0000 0.0000 0.0000 x1  8 Nb 3.26, 4 Ge 3.41
Nb: 0.0000 0.5000 0.5000 x2  2 Ga 2.41
Ga: 0.5000 0.5000 0.5000 x1  2 Ge 2.19, 4 Nb 2.41
Ge: 0.5000 0.5000 0.0000 x1  2 Ga 2.19

Results
DFT total energy ... -6.763 eV per atom
Formation energy ... 1.165 eV/atom



[8]
Density functional theory data (PBE-GGA) for crystalline TiNbGa2Ge at its relaxed geometry.

a b c (Å): 4.8999 4.8999 4.8809
angles (deg): 90.00 90.00 90.00
Last column: nearest neighbours and their distance in Å.
Space group P4/mmm (No. 123)
Unique sites:
Ti: 0.0000 0.0000 0.0000 x1  8 Ga 3.46, 4 Ge 3.46
Nb: 0.5000 0.5000 0.5000 x1  2 Ge 2.44, 4 Ga 2.45
Ga: 0.0000 0.5000 0.5000 x2  2 Nb 2.45
Ge: 0.5000 0.5000 0.0000 x1  2 Nb 2.44

Results
DFT total energy ... -5.012 eV per atom
Formation energy ... 0.715 eV/atom



[9]
Density functional theory data (PBE-GGA) for crystalline YNbGa2Ge at its relaxed geometry.

a b c (Å): 5.1342 5.1342 5.1362
angles (deg): 90.00 90.00 90.00
Last column: nearest neighbours and their distance in Å.
Space group P4/mmm (No. 123)
Unique sites:
Y: 0.0000 0.0000 0.0000 x1  4 Ga 2.57, 2 Ge 2.57
Nb: 0.5000 0.5000 0.5000 x1  4 Ge 3.63, 8 Ga 3.63
Ga: 0.0000 0.5000 0.0000 x2  2 Y 2.57
Ge: 0.0000 0.0000 0.5000 x1  2 Y 2.57

Results
DFT total energy ... -4.133 eV per atom
Formation energy ... 1.308 eV/atom



[10]
Density functional theory data (PBE-GGA) for crystalline Nd3Ga2Ge4 at its relaxed geometry.

a b c (Å): 11.4122 4.2145 9.0915
angles (deg): 90.00 111.79 90.00
Last column: nearest neighbours and their distance in Å.
Space group C2/m (No. 12)
Unique sites:
Nd: 0.0000 0.0000 0.0000 x2  8 Ge 3.12-3.48
Nd: 0.1252 0.5000 0.6925 x4  7 Ge 3.07-3.30, 3 Ga 3.13-3.40
Ga: 0.1769 0.5000 0.3234 x4  3 Ge 2.54-2.63
Ge: 0.0888 0.0000 0.4000 x4  2 Ga 2.54
Ge: 0.2137 0.5000 0.0550 x4  2 Ge 2.60, 1 Ga 2.63

Results
DFT total energy ... -4.936 eV per atom
Formation energy ... -0.622 eV/atom



[11]
Density functional theory data (PBE-GGA) for crystalline Nd4GaGe2 at its relaxed geometry.

a b c (Å): 15.1222 4.2715 7.7021
angles (deg): 90.00 118.81 90.00
Last column: nearest neighbours and their distance in Å.
Space group C2/m (No. 12)
Unique sites:
Nd: 0.1240 0.0000 0.3226 x4  3 Ge 3.00, 2 Ga 3.12
Nd: 0.1349 0.5000 0.7951 x4  3 Ge 2.97-2.99, 1 Ga 3.12
Ga: 0.0000 0.5000 0.0000 x2  6 Nd 3.12, 2 Ge 3.15
Ge: 0.2372 0.5000 0.2381 x4  6 Nd 2.97-3.00, 1 Ga 3.15

Results
DFT total energy ... -4.991 eV per atom
Formation energy ... -0.515 eV/atom



[12]
Density functional theory data (PBE-GGA) for crystalline Nd7GaGe5 at its relaxed geometry.

a b c (Å): 6.2751 11.1339 10.1616
angles (deg): 90.00 90.00 90.00
Last column: nearest neighbours and their distance in Å.
Space group Imm2 (No. 44)
Unique sites:
Nd: 0.0000 0.0000 0.0000 x2  1 Ga 3.09, 4 Ge 3.34, 2 Nd 3.43
Nd: 0.0000 0.0000 0.3980 x2  1 Ga 3.02, 6 Ge 3.14-3.20
Nd: 0.0000 0.3079 0.6832 x4  5 Ge 2.96-3.11
Nd: 0.0000 0.3341 0.1181 x4  3 Ge 2.98-3.01, 1 Nd 3.11
Nd: 0.0000 0.5000 0.3648 x2  4 Ge 3.00, 2 Nd 3.11
Ga: 0.0000 0.0000 0.6955 x2  2 Nd 3.02-3.09
Ge: 0.0000 0.5000 0.8845 x2  6 Nd 2.96-3.14
Ge: 0.2100 0.2617 0.4112 x8  1 Ge 2.64

Results
DFT total energy ... -5.081 eV per atom
Formation energy ... -0.505 eV/atom